# K2PtAu2 (GGA-PBE, relaxed)
# - crystal system = tetragonal
# - energy above the most stable polymorph in this dataset (meV per atom) = 0
data_K2PtAu2
_cell_length_a 7.0311
_cell_length_b 7.0311
_cell_length_c 5.2158
_cell_angle_alpha 90.00
_cell_angle_beta 90.00
_cell_angle_gamma 90.00
_symmetry_space_group_name_H-M 'P 4/m b m'
_symmetry_Int_Tables_number 127
_symmetry_space_group_name_Hall '-P 4 2ab'
loop_
_atom_site_label
_atom_site_fract_x
_atom_site_fract_y
_atom_site_fract_z
K1 0.1761 0.3239 0.0000
Pt1 0.0000 0.0000 0.5000
Au1 0.1416 0.6416 0.5000

***

# NaY6Te8 (GGA-PBE, relaxed)
# - energy relative to the elements, uncorrected (meV per atom) = -1342.8
# - crystal system = cubic
# - energy above the most stable polymorph in this dataset (meV per atom) = 0
data_NaY6Te8
_cell_length_a 12.3280
_cell_length_b 12.3280
_cell_length_c 12.3280
_cell_angle_alpha 90.00
_cell_angle_beta 90.00
_cell_angle_gamma 90.00
_symmetry_space_group_name_H-M 'F m -3 m'
_symmetry_Int_Tables_number 225
_symmetry_space_group_name_Hall '-F 4 2 3'
loop_
_atom_site_label
_atom_site_fract_x
_atom_site_fract_y
_atom_site_fract_z
Na1 0.0000 0.0000 0.0000
Y1 0.0000 0.2500 0.2500
Te1 0.0000 0.0000 0.2570
Te2 0.2500 0.2500 0.2500

***

# SrPaIrO6 (GGA-PBE, relaxed)
# - energy relative to the elements, uncorrected (meV per atom) = -2323.9
# - crystal system = trigonal
data_SrPaIrO6
_cell_length_a 5.5541
_cell_length_b 5.5541
_cell_length_c 10.7133
_cell_angle_alpha 90.00
_cell_angle_beta 90.00
_cell_angle_gamma 120.00
_symmetry_space_group_name_H-M 'P -3 1 c'
_symmetry_Int_Tables_number 163
_symmetry_space_group_name_Hall '-P 3 2c'
loop_
_atom_site_label
_atom_site_fract_x
_atom_site_fract_y
_atom_site_fract_z
Sr1 0.0000 0.0000 0.0000
Pa1 0.3333 0.6667 0.2500
Ir1 0.3333 0.6667 0.7500
O1 0.0251 0.3763 0.6466

***

# PmThTlPb (GGA-PBE, relaxed)
# - crystal system = cubic
data_PmThTlPb
_cell_length_a 7.8268
_cell_length_b 7.8268
_cell_length_c 7.8268
_cell_angle_alpha 90.00
_cell_angle_beta 90.00
_cell_angle_gamma 90.00
_symmetry_space_group_name_H-M 'F -4 3 m'
_symmetry_Int_Tables_number 216
_symmetry_space_group_name_Hall 'F -4 2 3'
loop_
_atom_site_label
_atom_site_fract_x
_atom_site_fract_y
_atom_site_fract_z
Pm1 0.0000 0.0000 0.0000
Th1 0.0000 0.0000 0.5000
Tl1 0.2500 0.2500 0.2500
Pb1 0.2500 0.2500 0.7500

***

# TaInFe2 (GGA-PBE, relaxed)
# - crystal system = tetragonal
data_TaInFe2
_cell_length_a 3.0222
_cell_length_b 3.0222
_cell_length_c 6.8212
_cell_angle_alpha 90.00
_cell_angle_beta 90.00
_cell_angle_gamma 90.00
_symmetry_space_group_name_H-M 'P 4 m m'
_symmetry_Int_Tables_number 99
loop_
_symmetry_equiv_pos_as_xyz
'x,y,z'
'-y,x,z'
'-x,-y,z'
'y,-x,z'
'-x,y,z'
'y,x,z'
'x,-y,z'
'-y,-x,z'
loop_
_atom_site_label
_atom_site_fract_x
_atom_site_fract_y
_atom_site_fract_z
Ta1 0.0000 0.0000 0.0000
In1 0.5000 0.5000 0.6764
Fe1 0.0000 0.0000 0.4120
Fe2 0.5000 0.5000 0.2295

***

# Tb3Si4Au2 (GGA-PBE, relaxed)
# - energy relative to the elements, uncorrected (meV per atom) = -797.8
# - crystal system = monoclinic
data_Tb3Si4Au2
_cell_length_a 10.8009
_cell_length_b 4.2307
_cell_length_c 8.2241
_cell_angle_alpha 90.00
_cell_angle_beta 102.43
_cell_angle_gamma 90.00
_symmetry_space_group_name_H-M 'C 1 2/m 1'
_symmetry_Int_Tables_number 12
loop_
_symmetry_equiv_pos_as_xyz
'x,y,z'
'-x,-y,-z'
'-x,y,-z'
'x,-y,z'
'x+1/2,y+1/2,z'
'-x+1/2,-y+1/2,-z'
'-x+1/2,y+1/2,-z'
'x+1/2,-y+1/2,z'
loop_
_atom_site_label
_atom_site_fract_x
_atom_site_fract_y
_atom_site_fract_z
Tb1 0.0000 0.0000 0.0000
Tb2 0.1627 0.5000 0.6728
Si1 0.0546 0.0000 0.3916
Si2 0.2242 0.5000 0.0520
Au1 0.1144 0.5000 0.2811

***

| no. | energy (eV/atom) | M_tot (Bohr magnetons per cell) |
| --- | --- | --- |
| 1 | -3.113 | 0.0 |
| 2 | -5.692 | 0.0 |
| 3 | -7.856 | 4.1 |
| 4 | -4.801 | 0.0 |
| 5 | -7.760 | 4.3 |
| 6 | -5.480 | 0.0 |